A relaxed TmLuCd2 crystal, computed with PBE-GGA.

a = 5.2063 Å, b = 5.2063 Å, c = 5.2063 Å
α = 60.00°, β = 60.00°, γ = 60.00°
Fractional coordinates of all 4 atoms:
1 Tm 0.0000 0.0000 0.0000
2 Lu 0.5000 0.5000 0.5000
3 Cd 0.2500 0.2500 0.2500
4 Cd 0.7500 0.7500 0.7500

- Electronic total energy: -3.015 eV/atom
- Excess energy over the best structure of this formula in the dataset: 0 meV/atom
- SG: No. 225
- D(E_F): 0.632 states/eV per atom



A relaxed DyScRuPt crystal, computed with PBE-GGA.

a = 3.3799 Å, b = 3.3799 Å, c = 6.5685 Å
α = 90.00°, β = 90.00°, γ = 90.00°
Fractional coordinates of all 4 atoms:
1 Dy 0.0000 0.0000 0.0000
2 Sc 0.0000 0.0000 0.4872
3 Ru 0.5000 0.5000 0.2613
4 Pt 0.5000 0.5000 0.7296

- Electronic total energy: -7.454 eV/atom
- Excess energy over the best structure of this formula in the dataset: 0 meV/atom
- SG: No. 99
- D(E_F): 0.243 states/eV per atom



A relaxed Na2Li3In6 crystal, computed with PBE-GGA.

a = 9.1209 Å, b = 9.1209 Å, c = 3.3632 Å
α = 90.00°, β = 90.00°, γ = 101.10°
Fractional coordinates of all 11 atoms:
1 Na 0.1934 0.8066 0.0000
2 Na 0.8066 0.1934 0.0000
3 Li 0.3105 0.3105 0.0000
4 Li 0.5000 0.5000 0.5000
5 Li 0.6895 0.6895 0.0000
6 In 0.1231 0.1231 0.5000
7 In 0.1524 0.4727 0.5000
8 In 0.4727 0.1524 0.5000
9 In 0.5273 0.8476 0.5000
10 In 0.8476 0.5273 0.5000
11 In 0.8769 0.8769 0.5000

- Electronic total energy: -2.342 eV/atom
- SG: No. 65
- D(E_F): 0.285 states/eV per atom



A relaxed CaEr2Ir crystal, computed with PBE-GGA.

a = 9.1521 Å, b = 9.1521 Å, c = 9.1521 Å
α = 25.84°, β = 25.84°, γ = 25.84°
Fractional coordinates of all 4 atoms:
1 Ca 0.0000 0.0000 0.0000
2 Er 0.5498 0.5498 0.5498
3 Er 0.7791 0.7791 0.7791
4 Ir 0.1643 0.1643 0.1643

- Electronic total energy: -5.437 eV/atom
- Excess energy over the best structure of this formula in the dataset: 5 meV/atom
- SG: No. 160
- D(E_F): 0.951 states/eV per atom



For reference, energy relative to the elements by record: -0.3093 -0.8916 -0.0861 -0.4402 eV per atom.